Compound: BaLi2InCu
Source: Alexandria
Functional: PBE
Structure: relaxed

The value obtained for the energy is -0.1905 Ry/atom. As for the density of states at the Fermi level: 2.90 states/eV/cell. For the calculated formation energy, the calculation gives -75 meV/atom. The value obtained for the volume is 26.70 A^3/atom.

The space group is P4/mmm (No. 123) and the conventional cell measures 5.157, 5.157 and 5.019 Å, with angles of 90.00, 90.00 and 90.00 degrees. The asymmetric unit holds Ba at (0.000, 0.000, 0.000), Li at (0.000, 0.500, 0.500), In at (0.500, 0.500, 0.000) and Cu at (0.500, 0.500, 0.500).